Entry 1:
This record from Alexandria via LeMat-Bulk describes a relaxed structure of MnFeIr2. The functional is GGA-PBE.

symmetry	Imm2 (44)
energy of formation	20	meV/atom
DFT total energy	-35.27	eV/f.u.
density of states at the Fermi level	0.96	states/eV per atom
crystal system	orthorhombic
V	54.23	Å³ per cell
energy above the lowest structure with this stoichiometry	210	meV per atom

a = 5.085 Å, b = 5.085 Å, c = 5.085 Å
α = 147.35°, β = 129.49°, γ = 61.45°
Element x y z (fractional)
Mn  0.000  0.000  0.000
Fe  0.236  0.736  0.500
Ir  0.484  0.484  0.000
Ir  0.754  0.254  0.500

=====

Entry 2:
This record from Alexandria via LeMat-Bulk describes a relaxed structure of La2TlSi. The functional is GGA-PBE.

symmetry	F-43m (216)
formation energy from raw total energies	79	meV/atom
DFT total energy	-17.33	eV/f.u.
density of states at the Fermi level	1.25	states/eV per atom
crystal system	cubic
V	109.78	Å³ per cell

a = 5.375 Å, b = 5.375 Å, c = 5.375 Å
α = 60.00°, β = 60.00°, γ = 60.00°
Element x y z (fractional)
La  0.000  0.000  0.000
La  0.250  0.250  0.250
Tl  0.500  0.500  0.500
Si  0.750  0.750  0.750

=====

Entry 3:
This record from Alexandria via LeMat-Bulk describes a relaxed structure of YZnP2S. The functional is GGA-PBE.

symmetry	P4/mmm (123)
formation energy from raw total energies	123	meV/atom
DFT total energy	-22.07	eV/f.u.
density of states at the Fermi level	0.51	states/eV per atom
crystal system	tetragonal
V	113.20	Å³ per cell
energy above the lowest structure with this stoichiometry	181	meV per atom

a = 4.328 Å, b = 4.328 Å, c = 6.043 Å
α = 90.00°, β = 90.00°, γ = 90.00°
Element x y z (fractional)
Y  0.000  0.000  0.000
Zn  0.000  0.000  0.500
P  0.000  0.500  0.500
P  0.500  0.000  0.500
S  0.500  0.500  0.000

=====

Which formula does entry 3 have? YZnP2S

=====

What is the density of states at the Fermi level in the third record? 0.51 states/eV per atom